CaAgRu2 | PBE | relaxed

POSCAR file:
```
CaAgRu2
1.0
5.322 0.012 0.000
-2.324 4.787 0.000
0.000 0.000 2.711
Ru Ca Ag
2 1 1
Direct
0.000 0.000 0.000
0.500 0.500 0.000
0.000 0.500 0.500
0.500 0.000 0.500
```

Calculated total energy ... -5.296 eV/atom
DOS at the Fermi energy ... 1.2098 states/eV/atom
E_form ... 0.555 eV/atom